[1]
Below is crystalline MnZn2In at its relaxed geometry, with properties calculated at the PBE level.

Calculated values
Space group: No. 123
Calculated formation energy in meV/atom: 141
Size of the total moment in μB/f.u.: 2.97
Theoretical density in Mg/m³: 7.3

a b c (Å): 2.937 2.937 7.920
angles (deg): 90.00 90.00 90.02
Atoms (fractional coordinates):
1 In 0.500 0.500 0.250
2 Zn 0.000 0.000 0.956
3 Mn 0.500 0.500 0.750
4 Zn 0.000 0.000 0.544

---

[2]
Below is crystalline PaTl3Cr2S6 at its relaxed geometry, with properties calculated at the PBE level.

Calculated values
Space group: No. 12
Size of the total moment in μB/f.u.: 6.57
Raw formation energy in eV per atom: -0.816
Theoretical density in Mg/m³: 6.7

a b c (Å): 6.225 6.225 8.903
angles (deg): 99.57 99.57 119.94
Atoms (fractional coordinates):
1 Tl 0.500 0.500 0.500
2 S 0.716 0.716 0.167
3 Cr 0.667 0.333 0.000
4 S 0.920 0.557 0.833
5 Tl 0.170 0.830 0.500
6 S 0.443 0.080 0.167
7 Pa 0.000 0.000 0.000
8 S 0.557 0.920 0.833
9 Tl 0.830 0.170 0.500
10 S 0.284 0.284 0.833
11 Cr 0.333 0.667 0.000
12 S 0.080 0.443 0.167

---

[3]
Below is crystalline AgWBr2 at its relaxed geometry, with properties calculated at the PBE level.

Calculated values
Energy relative to the lowest polymorph listed for this composition in eV/atom: 0.059
Space group: No. 166
Size of the total moment in μB/f.u.: 0.00
Raw formation energy in eV per atom: 0.408
Theoretical density in Mg/m³: 7.9

a b c (Å): 10.932 10.932 10.932
angles (deg): 16.80 16.80 16.80
Atoms (fractional coordinates):
1 Ag 0.000 0.000 0.000
2 Br 0.892 0.892 0.892
3 Br 0.108 0.108 0.108
4 W 0.500 0.500 0.500

---

[4]
Below is crystalline TlMoPb2 at its relaxed geometry, with properties calculated at the PBE level.

Calculated values
Energy relative to the lowest polymorph listed for this composition in eV/atom: 0.100
Space group: No. 160
Calculated formation energy in meV/atom: 562
Size of the total moment in μB/f.u.: 0.43
Theoretical density in Mg/m³: 11.6

a b c (Å): 11.156 11.156 11.156
angles (deg): 16.90 16.90 16.90
Atoms (fractional coordinates):
1 Pb 0.014 0.014 0.014
2 Mo 0.751 0.751 0.751
3 Pb 0.247 0.247 0.247
4 Tl 0.488 0.488 0.488

---

Copy entry 2 word for word.
Below is crystalline PaTl3Cr2S6 at its relaxed geometry, with properties calculated at the PBE level.

Calculated values
Space group: No. 12
Size of the total moment in μB/f.u.: 6.57
Raw formation energy in eV per atom: -0.816
Theoretical density in Mg/m³: 6.7

a b c (Å): 6.225 6.225 8.903
angles (deg): 99.57 99.57 119.94
Atoms (fractional coordinates):
1 Tl 0.500 0.500 0.500
2 S 0.716 0.716 0.167
3 Cr 0.667 0.333 0.000
4 S 0.920 0.557 0.833
5 Tl 0.170 0.830 0.500
6 S 0.443 0.080 0.167
7 Pa 0.000 0.000 0.000
8 S 0.557 0.920 0.833
9 Tl 0.830 0.170 0.500
10 S 0.284 0.284 0.833
11 Cr 0.333 0.667 0.000
12 S 0.080 0.443 0.167